VASP calculation (PBE) on a geometry-optimized Sc3NbH8 structure.

```
Sc3NbH8
1.0
1.104 3.334 -3.096
1.799 -3.247 -2.854
-5.630 -0.560 0.929
Nb Sc H
1 3 8
Direct
0.000 0.000 0.000 Nb
0.500 0.500 0.000 Sc
0.750 0.250 0.500 Sc
0.250 0.750 0.500 Sc
0.878 0.363 0.241 H
0.363 0.878 0.241 H
0.363 0.363 0.241 H
0.122 0.122 0.759 H
0.122 0.637 0.759 H
0.878 0.878 0.241 H
0.637 0.122 0.759 H
0.637 0.637 0.759 H
```

## Properties
Raw total energy (eV per atom): -5.2512
Symmetry: No. 139